## Ce3NdHo3Se8 (PBE)

Data for a geometry-optimized Ce3NdHo3Se8 structure.

- magnetic moment (Bohr magnetons per cell) = 11.2
- D(E_F) (states/eV per atom) = 1.361
- formation energy (no corrections) (eV per atom) = -1.832

Unit cell a=8.2214 b=8.2214 c=20.4201 alpha=90.00 beta=90.00 gamma=120.00
Space group R-3m (No. 166, hexagonal axes)
Symmetry-distinct sites (fractional):
Ce (0.0000, 0.5000, 0.0000) (multiplicity 9)
Nd (0.0000, 0.0000, 0.5000) (multiplicity 3)
Ho (0.0000, 0.5000, 0.5000) (multiplicity 9)
Se (0.0000, 0.0000, 0.2456) (multiplicity 6)
Se (0.0146, 0.5073, 0.7509) (multiplicity 18)